Record 1
First-principles (PBE) data for an optimized crystal structure of UBe2P2, as listed in Alexandria via LeMat-Bulk.

```
UBe2P2
1.0
-2.1025 2.1025 3.9584
2.1025 -2.1025 3.9584
2.1025 2.1025 -3.9584
U Be P
1 2 2
direct
0.0000 0.0000 0.0000
0.3616 0.3616 0.0000
0.6384 0.6384 0.0000
0.2500 0.7500 0.5000
0.7500 0.2500 0.5000
```

Summary:
* crystal system: tetragonal
* formation enthalpy at 0 K: -0.3060 eV/atom
* density of states at the Fermi level: 8.70 states/eV per cell
* space group: No. 139



Record 2
First-principles (PBE) data for an optimized crystal structure of UBe3P3, as listed in Alexandria via LeMat-Bulk.

```
UBe3P3
1.0
3.1693 1.8298 6.4496
-3.1693 1.8298 6.4496
0.0000 -3.6596 6.4496
U Be P
2 6 6
direct
0.1664 0.1664 0.1664
0.8336 0.8336 0.8336
0.0391 0.7132 0.3755
0.2868 0.6245 0.9609
0.3755 0.0391 0.7132
0.6245 0.9609 0.2868
0.7132 0.3755 0.0391
0.9609 0.2868 0.6245
0.0793 0.4070 0.7349
0.2651 0.9207 0.5930
0.4070 0.7349 0.0793
0.5930 0.2651 0.9207
0.7349 0.0793 0.4070
0.9207 0.5930 0.2651
```

Summary:
* crystal system: trigonal
* formation enthalpy at 0 K: -0.4430 eV/atom
* density of states at the Fermi level: 9.54 states/eV per cell
* space group: No. 148